First-principles (PBE-GGA) data for an optimized crystal structure of YSiP2Cl, as listed in Alexandria via LeMat-Bulk.

a b c (Å): 4.617 4.617 4.708
angles (deg): 90.00 90.00 90.00
Atoms (fractional coordinates):
Y1 0.000 0.000 0.000
Si1 0.500 0.500 0.500
P1 0.000 0.500 0.500
P2 0.500 0.000 0.500
Cl1 0.500 0.500 0.000

Computed properties:
The electronic total energy comes out at -5.229 eV/atom. The calculation puts the spin magnetization at 0.00 μB per atom. Its raw formation energy is -319 meV per atom. The energy above the most stable polymorph in this dataset comes out at 0.000 eV/f.u.